No. 1
An optimized crystal structure of Nd2Zr, computed with PBE-GGA.

a b c (Å): 9.030 9.030 9.030
angles (deg): 90.00 90.00 90.00
Space group Fd-3m (No. 227, origin choice 2)
One atom of each set of equivalent atoms:
Nd 0.000 0.000 0.000 (multiplicity 16)
Zr 0.125 0.125 0.625 (multiplicity 8)

Summary:
The electronic total energy comes out at -5.4282 eV per atom. The relative energy among the computed polymorphs comes out at 0.00 eV per formula unit. For the formation energy, the calculation gives 173 kJ/mol of formula units.

=====

No. 2
An optimized crystal structure of ZnH10C8Br2N6O3F2, computed with PBE-GGA.

a b c (Å): 7.816 9.912 9.923
angles (deg): 73.52 67.29 68.31
Space group P-1 (No. 2)
One atom of each set of equivalent atoms:
Zn 0.201 0.494 0.241 (multiplicity 2)
H 0.014 0.778 0.913 (multiplicity 2)
H 0.158 0.291 0.587 (multiplicity 2)
H 0.206 0.425 0.007 (multiplicity 2)
H 0.228 0.003 0.024 (multiplicity 2)
H 0.240 0.782 0.772 (multiplicity 2)
H 0.261 0.169 0.267 (multiplicity 2)
H 0.329 0.438 0.726 (multiplicity 2)
H 0.363 0.660 0.444 (multiplicity 2)
H 0.422 0.416 0.986 (multiplicity 2)
H 0.469 0.178 0.109 (multiplicity 2)
C 0.041 0.983 0.804 (multiplicity 2)
C 0.074 0.222 0.673 (multiplicity 2)
C 0.148 0.072 0.691 (multiplicity 2)
C 0.212 0.792 0.131 (multiplicity 2)
C 0.297 0.242 0.862 (multiplicity 2)
C 0.358 0.882 0.337 (multiplicity 2)
C 0.435 0.734 0.357 (multiplicity 2)
C 0.460 0.971 0.217 (multiplicity 2)
Br 0.046 0.628 0.643 (multiplicity 2)
Br 0.459 0.371 0.344 (multiplicity 2)
N 0.103 0.710 0.239 (multiplicity 2)
N 0.104 0.838 0.833 (multiplicity 2)
N 0.137 0.943 0.112 (multiplicity 2)
N 0.370 0.094 0.880 (multiplicity 2)
N 0.388 0.117 0.196 (multiplicity 2)
N 0.391 0.326 0.740 (multiplicity 2)
O 0.144 0.308 0.954 (multiplicity 2)
O 0.284 0.475 0.025 (multiplicity 2)
O 0.378 0.735 0.048 (multiplicity 2)
F 0.183 0.949 0.426 (multiplicity 2)
F 0.328 0.005 0.607 (multiplicity 2)

Summary:
The electronic total energy comes out at -6.1406 eV per atom.

=====

No. 3
An optimized crystal structure of NdGeO3, computed with PBE-GGA.

a b c (Å): 5.7031 5.7031 14.6536
angles (deg): 90.00 90.00 120.00
Space group R-3 (No. 148, hexagonal axes)
One atom of each set of equivalent atoms:
Nd 0.0000 0.0000 0.1293 (multiplicity 6)
Ge 0.0000 0.0000 0.3473 (multiplicity 6)
O 0.0277 0.3004 0.2579 (multiplicity 18)

Summary:
The electronic total energy comes out at -6.9458 eV per atom.

=====

No. 4
An optimized crystal structure of NdSiB4, computed with PBE-GGA.

a b c (Å): 3.208 5.139 8.443
angles (deg): 90.00 90.00 90.00
Space group Immm (No. 71)
One atom of each set of equivalent atoms:
Nd 0.000 0.000 0.000 (multiplicity 2)
Si 0.000 0.000 0.500 (multiplicity 2)
B 0.000 0.324 0.261 (multiplicity 8)

Summary:
The electronic total energy comes out at -6.0897 eV per atom. The relative energy among the computed polymorphs comes out at 0.00 eV per formula unit.

=====

No. 5
An optimized crystal structure of ReHgBi2, computed with PBE-GGA.

a b c (Å): 7.216 7.216 7.216
angles (deg): 90.00 90.00 90.00
Space group F-43m (No. 216)
One atom of each set of equivalent atoms:
Re 0.000 0.000 0.000 (multiplicity 4)
Hg 0.250 0.250 0.250 (multiplicity 4)
Bi 0.000 0.000 0.500 (multiplicity 4)
Bi 0.250 0.250 0.750 (multiplicity 4)

Summary:
The electronic total energy comes out at -4.0901 eV per atom.

=====

No. 6
An optimized crystal structure of AcTbNO, computed with PBE-GGA.

a b c (Å): 4.051 6.986 5.996
angles (deg): 90.00 90.00 90.00
Space group Pmc2_1 (No. 26)
One atom of each set of equivalent atoms:
Ac 0.000 0.158 0.000 (multiplicity 2)
Tb 0.500 0.326 0.512 (multiplicity 2)
N 0.000 0.201 0.421 (multiplicity 2)
O 0.500 0.372 0.884 (multiplicity 2)

Summary:
The electronic total energy comes out at -7.4810 eV per atom. The relative energy among the computed polymorphs comes out at 0.20 eV per formula unit.